Ca2Hg3Bi2: optimized geometry, PBE-GGA.

abc: 4.5784 6.2103 7.8231
angles: 99.04 90.00 111.63
Element x y z (fractional)
Bi 0.8735 0.7470 0.5535
Bi 0.1265 0.2530 0.4465
Hg 0.6981 0.3962 0.1563
Hg 0.0000 0.0000 0.0000
Hg 0.3019 0.6038 0.8437
Ca 0.5886 0.1773 0.7490
Ca 0.4114 0.8227 0.2510

Values from the calculation:
The symmetry is C2/m, No. 12. The formation energy is -0.41 eV per atom.